# LiTlO2

An optimized crystal structure of LiTlO2 (PBE-GGA, the Alexandria database).

POSCAR file:
```
LiTlO2
1.0
2.8511 -5.4528 0.0000
2.8511 5.4528 0.0000
0.0000 0.0000 3.2282
Li Tl O
2 2 4
Direct
0.0866 0.9134 0.7500 Li
0.9134 0.0866 0.2500 Li
0.3236 0.6764 0.2500 Tl
0.6764 0.3236 0.7500 Tl
0.1008 0.3619 0.7500 O
0.3619 0.1008 0.2500 O
0.6381 0.8992 0.7500 O
0.8992 0.6381 0.2500 O
```

Properties
total energy = -36.1 eV per cell
space group = Cmcm, No. 63
formation energy (no corrections) = -0.967 eV per atom
magnetization = 0.0 μB per formula unit
ρ = 8.1 Mg/m³
offset from the most stable computed form = 184 meV/atom

***

# LiTlO2

An optimized crystal structure of LiTlO2 (PBE-GGA, the Alexandria database).

POSCAR file:
```
LiTlO2
1.0
3.5958 -5.4380 0.0000
3.5958 5.4380 0.0000
-0.7653 0.0000 10.8768
Li Tl O
8 8 16
Direct
0.0201 0.2048 0.1461 Li
0.1845 0.5318 0.6398 Li
0.2048 0.0201 0.6461 Li
0.4682 0.8155 0.8602 Li
0.5318 0.1845 0.1398 Li
0.7952 0.9799 0.3539 Li
0.8155 0.4682 0.3602 Li
0.9799 0.7952 0.8539 Li
0.0412 0.3283 0.8768 Tl
0.3283 0.0412 0.3768 Tl
0.3587 0.5595 0.3886 Tl
0.4405 0.6413 0.1114 Tl
0.5595 0.3587 0.8886 Tl
0.6413 0.4405 0.6114 Tl
0.6717 0.9588 0.6232 Tl
0.9588 0.6717 0.1232 Tl
0.0309 0.9691 0.2500 O
0.0662 0.4743 0.2562 O
0.2125 0.7107 0.9736 O
0.2742 0.2773 0.0173 O
0.2773 0.2742 0.5173 O
0.2893 0.7875 0.5264 O
0.4464 0.5536 0.7500 O
0.4743 0.0662 0.7562 O
0.5257 0.9338 0.2438 O
0.5536 0.4464 0.2500 O
0.7107 0.2125 0.4736 O
0.7227 0.7258 0.4827 O
0.7258 0.7227 0.9827 O
0.7875 0.2893 0.0264 O
0.9338 0.5257 0.7438 O
0.9691 0.0309 0.7500 O
```

Properties
total energy = -147.9 eV per cell
space group = C2/c, No. 15
formation energy (no corrections) = -1.074 eV per atom
magnetization = 0.0 μB per formula unit
ρ = 7.6 Mg/m³
offset from the most stable computed form = 76 meV/atom

***

# LiTlO2

An optimized crystal structure of LiTlO2 (PBE-GGA, the Alexandria database).

POSCAR file:
```
LiTlO2
1.0
3.3918 0.0000 0.0000
-1.6959 2.9374 0.0000
0.0000 0.0000 5.3960
Li Tl O
1 1 2
Direct
0.0000 0.0000 0.0000 Li
0.6667 0.3333 0.5613 Tl
0.0000 0.0000 0.3548 O
0.3333 0.6667 0.8204 O
```

Properties
total energy = -18.7 eV per cell
space group = P3m1, No. 156
formation energy (no corrections) = -1.135 eV per atom
magnetization = 0.0 μB per formula unit
ρ = 7.5 Mg/m³
offset from the most stable computed form = 16 meV/atom

***

# LiTlO2

An optimized crystal structure of LiTlO2 (PBE-GGA, the Alexandria database).

POSCAR file:
```
LiTlO2
1.0
1.6892 0.9753 5.9227
-1.6892 0.9753 5.9227
0.0000 -1.9506 5.9227
Li Tl O
1 1 2
Direct
0.0000 0.0000 0.0000 Li
0.5000 0.5000 0.5000 Tl
0.3907 0.3907 0.3907 O
0.6093 0.6093 0.6093 O
```

Properties
total energy = -17.0 eV per cell
space group = R-3m, No. 166
formation energy (no corrections) = -0.698 eV per atom
magnetization = 0.0 μB per formula unit
ρ = 6.9 Mg/m³
offset from the most stable computed form = 453 meV/atom

***

# LiTl4O6

An optimized crystal structure of LiTl4O6 (PBE-GGA, the Alexandria database).

POSCAR file:
```
LiTl4O6
1.0
5.4234 -3.1989 0.0000
5.4234 3.1989 0.0000
-4.5954 0.0000 9.9270
Li Tl O
2 8 12
Direct
0.2089 0.7911 0.5000 Li
0.7911 0.2089 0.0000 Li
0.0716 0.7520 0.7100 Tl
0.1537 0.4150 0.2659 Tl
0.3493 0.6911 0.0637 Tl
0.4150 0.1537 0.7659 Tl
0.6582 0.7793 0.4004 Tl
0.6911 0.3493 0.5637 Tl
0.7520 0.0716 0.2100 Tl
0.7793 0.6582 0.9004 Tl
0.0166 0.8946 0.9117 O
0.0514 0.6547 0.1169 O
0.0535 0.5616 0.4916 O
0.4168 0.7702 0.6915 O
0.4207 0.9977 0.2349 O
0.4625 0.5535 0.3987 O
0.5535 0.4625 0.8987 O
0.5616 0.0535 0.9916 O
0.6547 0.0514 0.6169 O
0.7702 0.4168 0.1915 O
0.8946 0.0166 0.4117 O
0.9977 0.4207 0.7349 O
```

Properties
total energy = -98.8 eV per cell
space group = Cc, No. 9
formation energy (no corrections) = -0.751 eV per atom
magnetization = 0.0 μB per formula unit
ρ = 8.9 Mg/m³

***

# LiTl5O8

An optimized crystal structure of LiTl5O8 (PBE-GGA, the Alexandria database).

POSCAR file:
```
LiTl5O8
1.0
0.0000 4.7757 4.7757
4.7757 0.0000 4.7757
4.7757 4.7757 0.0000
Li Tl O
1 5 8
Direct
0.0000 0.0000 0.0000 Li
0.3713 0.3713 0.3713 Tl
0.3713 0.3713 0.8861 Tl
0.3713 0.8861 0.3713 Tl
0.7500 0.7500 0.7500 Tl
0.8861 0.3713 0.3713 Tl
0.1315 0.1315 0.1315 O
0.1315 0.1315 0.6056 O
0.1315 0.6056 0.1315 O
0.1528 0.6157 0.6157 O
0.6056 0.1315 0.1315 O
0.6157 0.1528 0.6157 O
0.6157 0.6157 0.1528 O
0.6157 0.6157 0.6157 O
```

Properties
total energy = -64.2 eV per cell
space group = F-43m, No. 216
formation energy (no corrections) = -0.773 eV per atom
magnetization = 0.0 μB per formula unit
ρ = 8.8 Mg/m³

***

# Li4TlO4

An optimized crystal structure of Li4TlO4 (PBE-GGA, the Alexandria database).

POSCAR file:
```
Li4TlO4
1.0
-3.9053 3.9053 1.7630
3.9053 -3.9053 1.7630
3.9053 3.9053 -1.7630
Li Tl O
4 1 4
Direct
0.1593 0.6625 0.8219 Li
0.3375 0.1593 0.4968 Li
0.6625 0.8407 0.5032 Li
0.8407 0.3375 0.1781 Li
0.0000 0.0000 0.0000 Tl
0.0839 0.2584 0.3423 O
0.2584 0.9161 0.1746 O
0.7416 0.0839 0.8254 O
0.9161 0.7416 0.6577 O
```

Properties
total energy = -42.1 eV per cell
space group = I4/m, No. 87
formation energy (no corrections) = -1.360 eV per atom
magnetization = 1.0 μB per formula unit
ρ = 4.6 Mg/m³

***

# Li3TlO

An optimized crystal structure of Li3TlO (PBE-GGA, the Alexandria database).

POSCAR file:
```
Li3TlO
1.0
4.1037 0.0000 0.0000
0.0000 4.1037 0.0000
0.0000 0.0000 4.1037
Li Tl O
3 1 1
Direct
0.0000 0.0000 0.5000 Li
0.0000 0.5000 0.0000 Li
0.5000 0.0000 0.0000 Li
0.5000 0.5000 0.5000 Tl
0.0000 0.0000 0.0000 O
```

Properties
total energy = -17.7 eV per cell
space group = Pm-3m, No. 221
formation energy (no corrections) = -0.923 eV per atom
magnetization = 0.0 μB per formula unit
ρ = 5.8 Mg/m³

***

# LiTlO2

An optimized crystal structure of LiTlO2 (PBE-GGA, the Alexandria database).

POSCAR file:
```
LiTlO2
1.0
3.3709 0.0000 0.0000
0.0000 3.3709 0.0000
0.0000 0.0000 4.3205
Li Tl O
1 1 2
Direct
0.0000 0.0000 0.0000 Li
0.5000 0.5000 0.5000 Tl
0.0000 0.0000 0.5000 O
0.5000 0.5000 0.0000 O
```

Properties
total energy = -18.4 eV per cell
space group = P4/mmm, No. 123
formation energy (no corrections) = -1.063 eV per atom
magnetization = 0.0 μB per formula unit
ρ = 8.2 Mg/m³
offset from the most stable computed form = 88 meV/atom

***

# LiTlO2

An optimized crystal structure of LiTlO2 (PBE-GGA, the Alexandria database).

POSCAR file:
```
LiTlO2
1.0
4.4962 -4.5308 0.0000
4.4962 4.5308 0.0000
-1.3590 0.0000 11.1139
Li Tl O
8 8 16
Direct
0.0856 0.6569 0.8458 Li
0.1961 0.4288 0.6591 Li
0.3431 0.9144 0.6542 Li
0.4288 0.1961 0.1591 Li
0.5712 0.8039 0.8409 Li
0.6569 0.0856 0.3458 Li
0.8039 0.5712 0.3409 Li
0.9144 0.3431 0.1542 Li
0.1012 0.1512 0.8864 Tl
0.1512 0.1012 0.3864 Tl
0.3399 0.6229 0.3879 Tl
0.3771 0.6601 0.1121 Tl
0.6229 0.3399 0.8879 Tl
0.6601 0.3771 0.6121 Tl
0.8488 0.8988 0.6136 Tl
0.8988 0.8488 0.1136 Tl
0.0361 0.5983 0.2350 O
0.1100 0.8900 0.7500 O
0.1574 0.8170 0.9955 O
0.1830 0.8426 0.5045 O
0.3085 0.3512 0.5047 O
0.3512 0.3085 0.0047 O
0.4017 0.9639 0.2650 O
0.4711 0.5289 0.7500 O
0.5289 0.4711 0.2500 O
0.5983 0.0361 0.7350 O
0.6488 0.6915 0.9953 O
0.6915 0.6488 0.4953 O
0.8170 0.1574 0.4955 O
0.8426 0.1830 0.0045 O
0.8900 0.1100 0.2500 O
0.9639 0.4017 0.7650 O
```

Properties
total energy = -148.1 eV per cell
space group = C2/c, No. 15
formation energy (no corrections) = -1.078 eV per atom
magnetization = 0.0 μB per formula unit
ρ = 7.1 Mg/m³
offset from the most stable computed form = 73 meV/atom

***

# LiTlO2

An optimized crystal structure of LiTlO2 (PBE-GGA, the Alexandria database).

POSCAR file:
```
LiTlO2
1.0
5.5857 0.0000 0.0000
0.0000 3.2864 0.0000
-2.3784 0.0000 5.4078
Li Tl O
2 2 4
Direct
0.0186 0.2500 0.2128 Li
0.9814 0.7500 0.7872 Li
0.4696 0.2500 0.7381 Tl
0.5304 0.7500 0.2619 Tl
0.2451 0.7500 0.4655 O
0.2538 0.2500 0.9984 O
0.7462 0.7500 0.0016 O
0.7549 0.2500 0.5345 O
```

Properties
total energy = -37.3 eV per cell
space group = P2_1/m, No. 11
formation energy (no corrections) = -1.113 eV per atom
magnetization = 0.0 μB per formula unit
ρ = 8.1 Mg/m³
offset from the most stable computed form = 37 meV/atom

***

# LiTlO2

An optimized crystal structure of LiTlO2 (PBE-GGA, the Alexandria database).

POSCAR file:
```
LiTlO2
1.0
1.6348 -8.0707 0.0000
1.6348 8.0707 0.0000
0.0000 0.0000 3.8708
Li Tl O
2 2 4
Direct
0.0528 0.9472 0.7500 Li
0.9472 0.0528 0.2500 Li
0.3312 0.6688 0.7500 Tl
0.6688 0.3312 0.2500 Tl
0.0697 0.9303 0.2500 O
0.1954 0.8046 0.7500 O
0.8046 0.1954 0.2500 O
0.9303 0.0697 0.7500 O
```

Properties
total energy = -36.5 eV per cell
space group = Cmcm, No. 63
formation energy (no corrections) = -1.019 eV per atom
magnetization = 0.0 μB per formula unit
ρ = 7.9 Mg/m³
offset from the most stable computed form = 131 meV/atom